1.
Crystalline Tm3ClO4 at its relaxed geometry, computed with GGA-PBE.

a b c (Å): 3.815 3.815 8.688
angles (deg): 90.00 90.00 90.00
Fractional coordinates of all 8 atoms:
Tm 0.000 0.000 0.000
Tm 0.500 0.500 0.260
Tm 0.500 0.500 0.740
Cl 0.000 0.000 0.500
O 0.000 0.500 0.155
O 0.000 0.500 0.845
O 0.500 0.000 0.155
O 0.500 0.000 0.845

E	-61.26	eV for the cell shown
theoretical density	8.0	g/cm3
space group	P4/mmm


2.
Crystalline TmCl2O2 at its relaxed geometry, computed with GGA-PBE.

a b c (Å): 6.683 6.685 6.763
angles (deg): 99.40 101.47 117.67
Fractional coordinates of all 10 atoms:
Tm 0.170 0.330 0.000
Tm 0.830 0.670 0.000
Cl 0.017 0.081 0.259
Cl 0.412 0.489 0.741
Cl 0.588 0.511 0.259
Cl 0.983 0.919 0.741
O 0.099 0.594 0.203
O 0.201 0.699 0.064
O 0.799 0.301 0.936
O 0.901 0.406 0.797

E	-53.39	eV for the cell shown
theoretical density	3.6	g/cm3
space group	P-1


3.
Crystalline Tm3ClO4 at its relaxed geometry, computed with GGA-PBE.

a b c (Å): 6.030 6.030 11.400
angles (deg): 90.00 90.00 141.72
Fractional coordinates of all 16 atoms:
Tm 0.124 0.876 0.750
Tm 0.181 0.819 0.102
Tm 0.181 0.819 0.398
Tm 0.819 0.181 0.602
Tm 0.819 0.181 0.898
Tm 0.876 0.124 0.250
Cl 0.500 0.500 0.000
Cl 0.500 0.500 0.500
O 0.061 0.939 0.250
O 0.232 0.768 0.589
O 0.232 0.768 0.911
O 0.303 0.697 0.250
O 0.697 0.303 0.750
O 0.768 0.232 0.089
O 0.768 0.232 0.411
O 0.939 0.061 0.750

E	-125.47	eV for the cell shown
theoretical density	7.8	g/cm3
space group	Cmcm


4.
Crystalline Zn3Cl2O2 at its relaxed geometry, computed with GGA-PBE.

a b c (Å): 6.841 6.841 6.841
angles (deg): 109.47 109.47 109.47
Fractional coordinates of all 14 atoms:
Zn 0.187 0.937 0.250
Zn 0.250 0.187 0.937
Zn 0.313 0.563 0.750
Zn 0.563 0.750 0.313
Zn 0.750 0.313 0.563
Zn 0.937 0.250 0.187
Cl 0.000 0.951 0.500
Cl 0.500 0.000 0.951
Cl 0.549 0.549 0.549
Cl 0.951 0.500 0.000
O 0.000 0.437 0.500
O 0.063 0.063 0.063
O 0.437 0.500 0.000
O 0.500 0.000 0.437

E	-51.49	eV for the cell shown
theoretical density	4.0	g/cm3
space group	I2_13


5.
Crystalline Zn2Cl2O at its relaxed geometry, computed with GGA-PBE.

a b c (Å): 6.367 6.367 6.367
angles (deg): 126.87 81.23 123.53
Fractional coordinates of all 10 atoms:
Zn 0.098 0.177 0.275
Zn 0.402 0.677 0.078
Zn 0.598 0.323 0.922
Zn 0.902 0.823 0.725
Cl 0.161 0.578 0.739
Cl 0.339 0.078 0.417
Cl 0.661 0.922 0.583
Cl 0.839 0.422 0.261
O 0.250 0.250 0.000
O 0.750 0.750 0.000

E	-33.31	eV for the cell shown
theoretical density	4.4	g/cm3
space group	Ibam


6.
Crystalline OsCl5 at its relaxed geometry, computed with GGA-PBE.

a b c (Å): 9.365 11.715 12.391
angles (deg): 90.00 110.75 90.00
Fractional coordinates of all 48 atoms:
Os 0.202 0.120 0.388
Os 0.202 0.380 0.888
Os 0.219 0.617 0.216
Os 0.219 0.883 0.716
Os 0.781 0.117 0.284
Os 0.781 0.383 0.784
Os 0.798 0.620 0.112
Os 0.798 0.880 0.612
Cl 0.007 0.728 0.089
Cl 0.007 0.772 0.589
Cl 0.010 0.504 0.232
Cl 0.010 0.996 0.732
Cl 0.114 0.001 0.031
Cl 0.114 0.499 0.531
Cl 0.191 0.003 0.549
Cl 0.191 0.497 0.049
Cl 0.192 0.229 0.237
Cl 0.192 0.271 0.737
Cl 0.219 0.725 0.366
Cl 0.219 0.775 0.866
Cl 0.369 0.501 0.856
Cl 0.369 0.999 0.356
Cl 0.373 0.236 0.514
Cl 0.373 0.264 0.014
Cl 0.386 0.732 0.176
Cl 0.386 0.768 0.676
Cl 0.395 0.003 0.832
Cl 0.395 0.497 0.332
Cl 0.605 0.503 0.668
Cl 0.605 0.997 0.168
Cl 0.614 0.232 0.324
Cl 0.614 0.268 0.824
Cl 0.627 0.736 0.986
Cl 0.627 0.764 0.486
Cl 0.631 0.001 0.644
Cl 0.631 0.499 0.144
Cl 0.781 0.225 0.134
Cl 0.781 0.275 0.634
Cl 0.808 0.729 0.263
Cl 0.808 0.771 0.763
Cl 0.809 0.503 0.951
Cl 0.809 0.997 0.451
Cl 0.886 0.501 0.469
Cl 0.886 0.999 0.969
Cl 0.990 0.004 0.268
Cl 0.990 0.496 0.768
Cl 0.993 0.228 0.411
Cl 0.993 0.272 0.911

E	-177.81	eV for the cell shown
theoretical density	3.8	g/cm3
space group	P2_1/c


7.
Crystalline Os3Cl2 at its relaxed geometry, computed with GGA-PBE.

a b c (Å): 5.415 5.415 5.415
angles (deg): 80.93 80.93 80.93
Fractional coordinates of all 10 atoms:
Os 0.118 0.750 0.382
Os 0.250 0.618 0.882
Os 0.382 0.118 0.750
Os 0.618 0.882 0.250
Os 0.750 0.382 0.118
Os 0.882 0.250 0.618
Cl 0.131 0.131 0.131
Cl 0.369 0.369 0.369
Cl 0.631 0.631 0.631
Cl 0.869 0.869 0.869

E	-58.86	eV for the cell shown
theoretical density	13.9	g/cm3
space group	R-3c


8.
Crystalline Os2Cl at its relaxed geometry, computed with GGA-PBE.

a b c (Å): 5.272 5.272 5.272
angles (deg): 60.00 60.00 60.00
Fractional coordinates of all 6 atoms:
Os 0.000 0.000 0.000
Os 0.000 0.000 0.500
Os 0.000 0.500 0.000
Os 0.500 0.000 0.000
Cl 0.375 0.375 0.375
Cl 0.625 0.625 0.625

E	-37.90	eV for the cell shown
theoretical density	13.3	g/cm3
space group	Fd-3m